(1)
GGA-PBE TaTlAuN2, optimized geometry; formation energy without anion corrections = 0.2464 eV/atom; crystal system = tetragonal
1.0
4.0685 0.0000 0.0000
0.0000 5.6436 0.0000
0.0000 0.0000 4.0685
Tl N Au Ta
1 2 1 1
Direct
0.5000 0.5000 0.5000
0.0000 0.0000 0.5000
0.5000 0.0000 0.0000
0.0000 0.5000 0.0000
0.0000 0.0000 0.0000

---

(2)
GGA-PBE Cs2Rb3Bi2, optimized geometry; energy = -2.03 eV per atom; crystal system = monoclinic
1.0
6.2586 0.0000 0.0000
-3.1293 5.5917 -1.4016
0.0000 -0.5929 10.1896
Cs Rb Bi
2 3 2
Direct
0.8641 0.7282 0.5725
0.1359 0.2718 0.4275
0.0000 0.0000 0.0000
0.7125 0.4250 0.1444
0.2875 0.5750 0.8556
0.5838 0.1675 0.7424
0.4162 0.8325 0.2576

---

(3)
GGA-PBE Mg5GeAu4, optimized geometry; energy = -3.07 eV per atom; crystal system = tetragonal
1.0
-1.1877 0.0307 -3.1117
-2.4310 -2.0884 0.9073
-9.6522 12.8908 3.8110
Mg Ge Au
5 1 4
Direct
0.5000 0.5000 0.1083
0.5000 0.5000 0.3040
0.5000 0.5000 0.5000
0.5000 0.5000 0.6960
0.5000 0.5000 0.8917
0.0000 0.0000 0.0000
0.0000 0.0000 0.2051
0.0000 0.0000 0.4017
0.0000 0.0000 0.5983
0.0000 0.0000 0.7949

---

(4)
GGA-PBE MgSbCl3, optimized geometry; polymorph energy (0 for the lowest one) = 0.000 eV/atom; formation energy without anion corrections = -0.7796 eV/atom; crystal system = cubic
1.0
4.9284 0.0000 0.0000
0.0000 4.9284 0.0000
0.0000 0.0000 4.9284
Sb Mg Cl
1 1 3
Direct
0.5000 0.5000 0.5000
0.0000 0.0000 0.0000
0.0000 0.5000 0.0000
0.0000 0.0000 0.5000
0.5000 0.0000 0.0000

---

(5)
GGA-PBE NiS6Br, optimized geometry; formation energy without anion corrections = 0.0292 eV/atom; crystal system = triclinic
1.0
-2.5990 1.7067 -3.8738
-5.7511 1.1813 3.5090
-4.7555 6.9551 3.9175
Ni S Br
1 6 1
Direct
0.4563 0.9347 0.9957
0.6005 0.3613 0.5811
0.4937 0.9275 0.5427
0.3056 0.5760 0.3847
0.5644 0.5675 0.0444
0.8007 0.0893 0.5380
0.3250 0.5195 0.9312
0.9537 0.0241 0.9822

---

(6)
GGA-PBE La2Pm3PuN6, optimized geometry; formation energy without anion corrections = -1.3517 eV/atom; crystal system = monoclinic
1.0
6.2943 0.0004 -0.0011
-3.1453 5.4521 -0.0011
-1.0514 -1.8206 5.9134
La Pm Pu N
2 3 1 6
Direct
0.3335 0.6665 0.0000
0.6665 0.3335 0.0000
0.1634 0.8366 0.5000
0.8366 0.1634 0.5000
0.5000 0.5000 0.5000
0.0000 0.0000 0.0000
0.9194 0.6113 0.7573
0.7687 0.7687 0.2483
0.0806 0.3887 0.2427
0.6113 0.9194 0.7573
0.2313 0.2313 0.7517
0.3887 0.0806 0.2427

---

(7)
GGA-PBE CaPr12Ho3, optimized geometry; energy = -4.55 eV per atom; crystal system = tetragonal
1.0
-3.8262 -3.4022 0.9755
1.0644 -2.4762 -4.4611
13.4855 -12.2880 10.0383
Ca Pr Ho
1 12 3
Direct
0.0000 0.0000 0.0000
0.5000 0.5000 0.0000
0.5000 0.5000 0.2516
0.5000 0.5000 0.5000
0.5000 0.5000 0.7484
0.5000 0.0000 0.1298
0.5000 0.0000 0.3763
0.5000 0.0000 0.6237
0.5000 0.0000 0.8702
0.0000 0.5000 0.1298
0.0000 0.5000 0.3763
0.0000 0.5000 0.6237
0.0000 0.5000 0.8702
0.0000 0.0000 0.2516
0.0000 0.0000 0.5000
0.0000 0.0000 0.7484

---

(8)
GGA-PBE Li3Tm2Pt4, optimized geometry; energy = -5.18 eV per atom; crystal system = triclinic
1.0
4.2930 0.0013 0.0027
2.1469 4.1512 0.5370
0.0019 0.4806 8.7220
Li Tm Pt
3 2 4
Direct
0.3558 0.2857 0.4334
0.0000 0.0000 0.0000
0.6442 0.7143 0.5666
0.3214 0.3587 0.7776
0.6786 0.6413 0.2224
0.6596 0.6815 0.8949
0.0198 0.9580 0.3483
0.9802 0.0420 0.6517
0.3404 0.3185 0.1051

---

no.,DOS(E_F) (states/eV per cell),size of the total moment (μB per atom)
1,2.96,0.0000
2,4.14,0.1107
3,2.82,0.0000
4,3.26,0.0000
5,2.13,0.0356
6,7.93,0.3680
7,23.77,0.0000
8,3.03,0.0000